[1]
# YBeTe2Br, relaxed, DFT PBE-GGA
data_YBeTe2Br
_cell_length_a 5.8022
_cell_length_b 5.8022
_cell_length_c 5.2274
_cell_angle_alpha 90.00
_cell_angle_beta 90.00
_cell_angle_gamma 90.00
_space_group_name_H-M_alt 'P 4/m m m'
_space_group_IT_number 123
_space_group_name_Hall '-P 4 2'
loop_
_atom_site_label
_atom_site_fract_x
_atom_site_fract_y
_atom_site_fract_z
Y1 0.0000 0.0000 0.0000
Be1 0.5000 0.5000 0.0000
Te1 0.0000 0.5000 0.5000
Br1 0.0000 0.0000 0.5000
# Total moment ... 0.0 μB/f.u.
# Crystal system ... tetragonal
# Formation energy without anion corrections ... 0.7617 eV/atom

=====

[2]
# ThBeBr, relaxed, DFT PBE-GGA
data_ThBeBr
_cell_length_a 7.1322
_cell_length_b 3.8330
_cell_length_c 12.1081
_cell_angle_alpha 90.00
_cell_angle_beta 95.48
_cell_angle_gamma 90.00
_space_group_name_H-M_alt 'C 1 2/m 1'
_space_group_IT_number 12
_space_group_name_Hall '-C 2y'
loop_
_atom_site_label
_atom_site_fract_x
_atom_site_fract_y
_atom_site_fract_z
Th1 0.2262 0.0000 0.3324
Be1 0.0000 0.2495 0.5000
Br1 0.1345 0.0000 0.8409
# Relative energy among the computed polymorphs ... 0.92 eV/f.u.
# Total moment ... 0.0 μB/f.u.
# Crystal system ... monoclinic
# Formation energy without anion corrections ... -0.4683 eV/atom

=====

[3]
# ThBeBr, relaxed, DFT PBE-GGA
data_ThBeBr
_cell_length_a 6.8309
_cell_length_b 3.9446
_cell_length_c 11.8770
_cell_angle_alpha 90.00
_cell_angle_beta 91.48
_cell_angle_gamma 90.00
_space_group_name_H-M_alt 'C 1 2/m 1'
_space_group_IT_number 12
_space_group_name_Hall '-C 2y'
loop_
_atom_site_label
_atom_site_fract_x
_atom_site_fract_y
_atom_site_fract_z
Th1 0.0073 0.0000 0.1596
Be1 0.1666 0.5000 0.9994
Br1 0.1817 0.5000 0.3356
# Relative energy among the computed polymorphs ... 0.00 eV/f.u.
# Total moment ... 0.0 μB/f.u.
# Crystal system ... monoclinic
# Formation energy without anion corrections ... -0.7765 eV/atom

=====

[4]
# TiBe2Br2, relaxed, DFT PBE-GGA
data_TiBe2Br2
_cell_length_a 7.3795
_cell_length_b 7.3795
_cell_length_c 3.4149
_cell_angle_alpha 90.00
_cell_angle_beta 90.00
_cell_angle_gamma 90.00
_space_group_name_H-M_alt 'P 4/m b m'
_space_group_IT_number 127
_space_group_name_Hall '-P 4 2ab'
loop_
_atom_site_label
_atom_site_fract_x
_atom_site_fract_y
_atom_site_fract_z
Ti1 0.0000 0.0000 0.0000
Be1 0.0975 0.4025 0.0000
Br1 0.2365 0.2635 0.5000
# Relative energy among the computed polymorphs ... 2.16 eV/f.u.
# Total moment ... 3.0 μB/f.u.
# Crystal system ... tetragonal
# Formation energy without anion corrections ... 0.4808 eV/atom

=====

[5]
# TiBe2Br2, relaxed, DFT PBE-GGA
data_TiBe2Br2
_cell_length_a 7.3376
_cell_length_b 7.3376
_cell_length_c 3.4511
_cell_angle_alpha 90.00
_cell_angle_beta 90.00
_cell_angle_gamma 90.00
_space_group_name_H-M_alt 'P 4/m b m'
_space_group_IT_number 127
_space_group_name_Hall '-P 4 2ab'
loop_
_atom_site_label
_atom_site_fract_x
_atom_site_fract_y
_atom_site_fract_z
Ti1 0.0000 0.0000 0.0000
Be1 0.2249 0.2751 0.5000
Br1 0.1485 0.6485 0.0000
# Relative energy among the computed polymorphs ... 2.60 eV/f.u.
# Total moment ... 1.4 μB/f.u.
# Crystal system ... tetragonal
# Formation energy without anion corrections ... 0.5678 eV/atom

=====

[6]
# TiBeBr3, relaxed, DFT PBE-GGA
data_TiBeBr3
_cell_length_a 4.8473
_cell_length_b 4.8473
_cell_length_c 4.8473
_cell_angle_alpha 90.00
_cell_angle_beta 90.00
_cell_angle_gamma 90.00
_space_group_name_H-M_alt 'P m -3 m'
_space_group_IT_number 221
_space_group_name_Hall '-P 4 2 3'
loop_
_atom_site_label
_atom_site_fract_x
_atom_site_fract_y
_atom_site_fract_z
Ti1 0.0000 0.0000 0.0000
Be1 0.5000 0.5000 0.5000
Br1 0.0000 0.5000 0.5000
# Total moment ... 2.8 μB/f.u.
# Crystal system ... cubic
# Formation energy without anion corrections ... -0.0221 eV/atom

=====

[7]
# Ti3BeBr, relaxed, DFT PBE-GGA
data_Ti3BeBr
_cell_length_a 4.4968
_cell_length_b 4.4968
_cell_length_c 4.4968
_cell_angle_alpha 90.00
_cell_angle_beta 90.00
_cell_angle_gamma 90.00
_space_group_name_H-M_alt 'P m -3 m'
_space_group_IT_number 221
_space_group_name_Hall '-P 4 2 3'
loop_
_atom_site_label
_atom_site_fract_x
_atom_site_fract_y
_atom_site_fract_z
Ti1 0.0000 0.0000 0.5000
Be1 0.0000 0.0000 0.0000
Br1 0.5000 0.5000 0.5000
# Relative energy among the computed polymorphs ... 0.00 eV/f.u.
# Total moment ... 2.0 μB/f.u.
# Crystal system ... cubic
# Formation energy without anion corrections ... 0.5060 eV/atom

=====

[8]
# TiBe3Br, relaxed, DFT PBE-GGA
data_TiBe3Br
_cell_length_a 4.8373
_cell_length_b 4.8373
_cell_length_c 4.8373
_cell_angle_alpha 90.00
_cell_angle_beta 90.00
_cell_angle_gamma 90.00
_space_group_name_H-M_alt 'P m -3 m'
_space_group_IT_number 221
_space_group_name_Hall '-P 4 2 3'
loop_
_atom_site_label
_atom_site_fract_x
_atom_site_fract_y
_atom_site_fract_z
Ti1 0.0000 0.0000 0.0000
Be1 0.0000 0.0000 0.5000
Br1 0.5000 0.5000 0.5000
# Relative energy among the computed polymorphs ... 1.05 eV/f.u.
# Total moment ... 0.0 μB/f.u.
# Crystal system ... cubic
# Formation energy without anion corrections ... 1.6457 eV/atom

=====

[9]
# TiBe2Br2, relaxed, DFT PBE-GGA
data_TiBe2Br2
_cell_length_a 3.1222
_cell_length_b 3.1222
_cell_length_c 22.9586
_cell_angle_alpha 90.00
_cell_angle_beta 90.00
_cell_angle_gamma 90.00
_space_group_name_H-M_alt 'I 4/m m m'
_space_group_IT_number 139
_space_group_name_Hall '-I 4 2'
loop_
_atom_site_label
_atom_site_fract_x
_atom_site_fract_y
_atom_site_fract_z
Ti1 0.0000 0.0000 0.0000
Be1 0.0000 0.5000 0.2500
Br1 0.0000 0.0000 0.4299
# Relative energy among the computed polymorphs ... 0.00 eV/f.u.
# Total moment ... 0.4 μB/f.u.
# Crystal system ... tetragonal
# Formation energy without anion corrections ... 0.0482 eV/atom

=====

[10]
# TiBe2Br2, relaxed, DFT PBE-GGA
data_TiBe2Br2
_cell_length_a 5.0272
_cell_length_b 5.0272
_cell_length_c 7.0682
_cell_angle_alpha 90.00
_cell_angle_beta 90.00
_cell_angle_gamma 90.00
_space_group_name_H-M_alt 'I 4/m m m'
_space_group_IT_number 139
_space_group_name_Hall '-I 4 2'
loop_
_atom_site_label
_atom_site_fract_x
_atom_site_fract_y
_atom_site_fract_z
Ti1 0.0000 0.0000 0.0000
Be1 0.0000 0.0000 0.3545
Br1 0.0000 0.5000 0.2500
# Relative energy among the computed polymorphs ... 2.37 eV/f.u.
# Total moment ... 1.5 μB/f.u.
# Crystal system ... tetragonal
# Formation energy without anion corrections ... 0.5216 eV/atom

=====

[11]
# TiBe3Br, relaxed, DFT PBE-GGA
data_TiBe3Br
_cell_length_a 4.3495
_cell_length_b 4.3495
_cell_length_c 4.3495
_cell_angle_alpha 90.00
_cell_angle_beta 90.00
_cell_angle_gamma 90.00
_space_group_name_H-M_alt 'P m -3 m'
_space_group_IT_number 221
_space_group_name_Hall '-P 4 2 3'
loop_
_atom_site_label
_atom_site_fract_x
_atom_site_fract_y
_atom_site_fract_z
Ti1 0.0000 0.0000 0.0000
Be1 0.0000 0.5000 0.5000
Br1 0.5000 0.5000 0.5000
# Relative energy among the computed polymorphs ... 0.00 eV/f.u.
# Total moment ... 2.0 μB/f.u.
# Crystal system ... cubic
# Formation energy without anion corrections ... 1.4359 eV/atom

=====

[12]
# TiBe2ZnBr, relaxed, DFT PBE-GGA
data_TiBe2ZnBr
_cell_length_a 4.3045
_cell_length_b 4.3045
_cell_length_c 5.2388
_cell_angle_alpha 90.00
_cell_angle_beta 90.00
_cell_angle_gamma 90.00
_space_group_name_H-M_alt 'P 4/m m m'
_space_group_IT_number 123
_space_group_name_Hall '-P 4 2'
loop_
_atom_site_label
_atom_site_fract_x
_atom_site_fract_y
_atom_site_fract_z
Ti1 0.0000 0.0000 0.0000
Be1 0.0000 0.5000 0.5000
Zn1 0.5000 0.5000 0.0000
Br1 0.5000 0.5000 0.5000
# Total moment ... 2.2 μB/f.u.
# Crystal system ... tetragonal
# Formation energy without anion corrections ... 1.3196 eV/atom

=====

[13]
# BeTlBr3, relaxed, DFT PBE-GGA
data_BeTlBr3
_cell_length_a 5.0101
_cell_length_b 5.0101
_cell_length_c 5.0101
_cell_angle_alpha 90.00
_cell_angle_beta 90.00
_cell_angle_gamma 90.00
_space_group_name_H-M_alt 'P m -3 m'
_space_group_IT_number 221
_space_group_name_Hall '-P 4 2 3'
loop_
_atom_site_label
_atom_site_fract_x
_atom_site_fract_y
_atom_site_fract_z
Be1 0.0000 0.0000 0.0000
Tl1 0.5000 0.5000 0.5000
Br1 0.0000 0.0000 0.5000
# Relative energy among the computed polymorphs ... 1.72 eV/f.u.
# Total moment ... 0.0 μB/f.u.
# Crystal system ... cubic
# Formation energy without anion corrections ... -0.6450 eV/atom

=====

[14]
# BeTl3Br5, relaxed, DFT PBE-GGA
data_BeTl3Br5
_cell_length_a 9.0320
_cell_length_b 9.0320
_cell_length_c 14.3136
_cell_angle_alpha 90.00
_cell_angle_beta 90.00
_cell_angle_gamma 90.00
_space_group_name_H-M_alt 'I 4/m c m'
_space_group_IT_number 140
_space_group_name_Hall '-I 4 2c'
loop_
_atom_site_label
_atom_site_fract_x
_atom_site_fract_y
_atom_site_fract_z
Be1 0.0000 0.5000 0.2500
Tl1 0.0000 0.0000 0.2500
Tl2 0.1611 0.3389 0.0000
Br1 0.0000 0.0000 0.0000
Br2 0.1383 0.3617 0.3414
# Total moment ... 0.0 μB/f.u.
# Crystal system ... tetragonal
# Formation energy without anion corrections ... -0.9165 eV/atom